A plane-wave DFT calculation with PBE was carried out for AcGaTe4 after structural relaxation.

Values from the calculation:
Crystal system: monoclinic
Final energy, eV/cell: -47.132
Calculated volume, Å³ per atom: 36.280

abc: 6.8711 8.3244 9.6925
angles: 90.00 90.00 128.25
Closest atoms and distances in Å follow each position.
Sites, in units of the cell vectors:
Ac (0.1525, 0.6446, 0.7500)  8 Te 3.30-3.62
Ac (0.8475, 0.3554, 0.2500)  8 Te 3.30-3.62
Ga (0.1317, 0.1017, 0.7500)  4 Te 2.61-2.71
Ga (0.8683, 0.8983, 0.2500)  4 Te 2.61-2.71
Te (0.7183, 0.7045, 0.7500)  1 Ga 2.71
Te (0.2817, 0.2955, 0.2500)  1 Ga 2.71
Te (0.5453, 0.1494, 0.7500)  1 Ga 2.61
Te (0.4547, 0.8506, 0.2500)  1 Ga 2.61
Te (0.9012, 0.7070, 0.0386)  1 Ga 2.69
Te (0.0988, 0.2930, 0.5386)  1 Ga 2.69
Te (0.9012, 0.7070, 0.4614)  1 Ga 2.69
Te (0.0988, 0.2930, 0.9614)  1 Ga 2.69



A plane-wave DFT calculation with PBE was carried out for TlBRh3 after structural relaxation.

Values from the calculation:
Crystal system: cubic
Final energy, eV/cell: -125.562
Calculated volume, Å³ per atom: 16.566

abc: 7.7671 7.7671 7.7671
angles: 60.00 60.00 60.00
Closest atoms and distances in Å follow each position.
Sites, in units of the cell vectors:
Tl (0.6250, 0.6250, 0.6250)  6 Rh 2.79
Tl (0.6250, 0.1250, 0.6250)  6 Rh 2.79
Tl (0.1250, 0.6250, 0.6250)  6 Rh 2.79
Tl (0.6250, 0.6250, 0.1250)  6 Rh 2.79
B (0.1250, 0.1250, 0.1250)  6 Rh 2.08
B (0.1250, 0.6250, 0.1250)  6 Rh 2.08
B (0.6250, 0.1250, 0.1250)  6 Rh 2.08
B (0.1250, 0.1250, 0.6250)  6 Rh 2.08
Rh (0.8079, 0.1921, 0.1921)  2 B 2.08
Rh (0.0579, 0.4421, 0.4421)  2 B 2.08
Rh (0.4421, 0.4421, 0.0579)  2 B 2.08
Rh (0.4421, 0.0579, 0.0579)  2 B 2.08
Rh (0.0579, 0.4421, 0.0579)  2 B 2.08
Rh (0.8079, 0.1921, 0.8079)  2 B 2.08
Rh (0.4421, 0.0579, 0.4421)  2 B 2.08
Rh (0.0579, 0.0579, 0.4421)  2 B 2.08
Rh (0.1921, 0.8079, 0.1921)  2 B 2.08
Rh (0.1921, 0.8079, 0.8079)  2 B 2.08
Rh (0.1921, 0.1921, 0.8079)  2 B 2.08
Rh (0.8079, 0.8079, 0.1921)  2 B 2.08



A plane-wave DFT calculation with PBE was carried out for PmHo3Bi2 after structural relaxation.

Values from the calculation:
Excess energy over the best structure of this formula in the dataset, meV/atom: 80.5
Crystal system: monoclinic
Final energy, eV/cell: -58.411
Calculated volume, Å³ per atom: 30.991

abc: 4.3566 10.8112 9.9464
angles: 125.01 90.00 101.62
Closest atoms and distances in Å follow each position.
Sites, in units of the cell vectors:
Pm (0.8889, 0.7777, 0.8943)  6 Bi 3.30-3.41
Pm (0.1111, 0.2223, 0.1057)  6 Bi 3.30-3.41
Ho (0.3117, 0.6233, 0.5131)  3 Bi 3.17-3.28, 4 Ho 3.29-3.35
Ho (0.9428, 0.8856, 0.5561)  3 Bi 3.10-3.44, 3 Ho 3.21-3.35
Ho (0.6389, 0.2777, 0.7999)  4 Bi 3.25-3.35, 2 Ho 3.62
Ho (0.3611, 0.7223, 0.2001)  4 Bi 3.25-3.35, 2 Ho 3.62
Ho (0.0572, 0.1144, 0.4439)  3 Bi 3.10-3.44, 3 Ho 3.21-3.35
Ho (0.6883, 0.3767, 0.4869)  3 Bi 3.17-3.28, 4 Ho 3.29-3.35
Bi (0.4891, 0.9783, 0.8212)  4 Ho 3.10-3.30, 4 Pm 3.30-3.41, 1 Bi 3.31
Bi (0.5109, 0.0217, 0.1788)  4 Ho 3.10-3.30, 4 Pm 3.30-3.41, 1 Bi 3.31
Bi (0.7516, 0.5032, 0.2152)  6 Ho 3.25-3.44, 2 Pm 3.31
Bi (0.2484, 0.4968, 0.7848)  6 Ho 3.25-3.44, 2 Pm 3.31



A plane-wave DFT calculation with PBE was carried out for B2C after structural relaxation.

Values from the calculation:
Excess energy over the best structure of this formula in the dataset, meV/atom: 212.6
Crystal system: trigonal
Final energy, eV/cell: -42.770
Calculated volume, Å³ per atom: 8.776

abc: 2.7048 2.7048 8.3105
angles: 90.00 90.00 120.00
Closest atoms and distances in Å follow each position.
Sites, in units of the cell vectors:
B (0.0000, 0.0000, 0.6432)  1 C 1.56
B (0.3333, 0.6667, 0.7627)  4 B 1.74-1.85
B (0.6667, 0.3333, 0.4403)  3 C 1.57
B (0.3333, 0.6667, 0.9722)  3 C 1.56, 1 B 1.74
C (0.0000, 0.0000, 0.4549)  4 B 1.56-1.57
C (0.6667, 0.3333, 0.9767)  3 B 1.56



A plane-wave DFT calculation with PBE was carried out for LaCd2Rh after structural relaxation.

Values from the calculation:
Crystal system: monoclinic
Final energy, eV/cell: -15.601
Calculated volume, Å³ per atom: 24.151

abc: 5.2975 5.2975 6.1422
angles: 57.47 57.47 43.41
Closest atoms and distances in Å follow each position.
Sites, in units of the cell vectors:
La (0.5512, 0.5512, 0.4153)  3 Rh 2.83-2.88
Cd (0.9508, 0.9508, 0.9484)  3 Rh 2.90-3.12, 3 Cd 2.93-3.09
Cd (0.7184, 0.7184, 0.7630)  2 Rh 2.87, 3 Cd 2.93-3.09
Rh (0.2795, 0.2795, 0.3733)  3 La 2.83-2.88, 5 Cd 2.87-3.12



A plane-wave DFT calculation with PBE was carried out for Y2ReSCl after structural relaxation.

Values from the calculation:
Crystal system: tetragonal
Final energy, eV/cell: -29.256
Calculated volume, Å³ per atom: 26.245

abc: 5.2102 4.8341 5.2102
angles: 90.00 90.00 90.00
Closest atoms and distances in Å follow each position.
Sites, in units of the cell vectors:
Y (0.0000, 0.0000, 0.5000)  2 S 2.61
Y (0.5000, 0.0000, 0.0000)  2 S 2.61
Re (0.5000, 0.5000, 0.5000)  8 Y 3.55, 4 Cl 3.68
S (0.0000, 0.0000, 0.0000)  2 Cl 2.42, 4 Y 2.61
Cl (0.0000, 0.5000, 0.0000)  2 S 2.42



A plane-wave DFT calculation with PBE was carried out for ZrTa2Ir after structural relaxation.

Values from the calculation:
Crystal system: tetragonal
Final energy, eV/cell: -42.037
Calculated volume, Å³ per atom: 17.768

abc: 4.6087 4.6087 3.3462
angles: 90.00 90.00 90.00
Closest atoms and distances in Å follow each position.
Sites, in units of the cell vectors:
Ir (0.0000, 0.5000, 0.5000)  8 Ta 2.85
Ta (0.0000, 0.0000, 0.0000)  4 Ir 2.85, 4 Zr 2.85
Ta (0.5000, 0.5000, 0.0000)  4 Zr 2.85, 4 Ir 2.85
Zr (0.5000, 0.0000, 0.5000)  8 Ta 2.85



A plane-wave DFT calculation with PBE was carried out for AsP3Pt after structural relaxation.

Values from the calculation:
Excess energy over the best structure of this formula in the dataset, meV/atom: 0.0
Crystal system: cubic
Final energy, eV/cell: -22.487
Calculated volume, Å³ per atom: 20.638

abc: 4.6904 4.6904 4.6904
angles: 90.00 90.00 90.00
Closest atoms and distances in Å follow each position.
Sites, in units of the cell vectors:
P (0.0000, 0.5000, 0.0000)  2 Pt 2.35
P (0.0000, 0.0000, 0.5000)  2 Pt 2.35
P (0.5000, 0.0000, 0.0000)  2 Pt 2.35
As (0.5000, 0.5000, 0.5000)  12 P 3.32
Pt (0.0000, 0.0000, 0.0000)  6 P 2.35



A plane-wave DFT calculation with PBE was carried out for Tb12GaCo6 after structural relaxation.

Values from the calculation:
Crystal system: cubic
Final energy, eV/cell: -105.525
Calculated volume, Å³ per atom: 23.604

abc: 8.3519 8.3519 8.3519
angles: 109.47 109.47 109.47
Closest atoms and distances in Å follow each position.
Sites, in units of the cell vectors:
Tb (0.3011, 0.1081, 0.8070)  3 Co 2.68-2.89
Tb (0.3011, 0.4941, 0.1930)  3 Co 2.68-2.89
Tb (0.6989, 0.5059, 0.8070)  3 Co 2.68-2.89
Tb (0.6989, 0.8919, 0.1930)  3 Co 2.68-2.89
Tb (0.1081, 0.8070, 0.3011)  3 Co 2.68-2.89
Tb (0.4941, 0.1930, 0.3011)  3 Co 2.68-2.89
Tb (0.5059, 0.8070, 0.6989)  3 Co 2.68-2.89
Tb (0.8919, 0.1930, 0.6989)  3 Co 2.68-2.89
Tb (0.8070, 0.3011, 0.1081)  3 Co 2.68-2.89
Tb (0.1930, 0.3011, 0.4941)  3 Co 2.68-2.89
Tb (0.8070, 0.6989, 0.5059)  3 Co 2.68-2.89
Tb (0.1930, 0.6989, 0.8919)  3 Co 2.68-2.89
Ga (0.0000, 0.0000, 0.0000)  12 Tb 3.45
Co (0.3866, 0.5000, 0.8866)  1 Co 2.19
Co (0.6134, 0.5000, 0.1134)  1 Co 2.19
Co (0.5000, 0.8866, 0.3866)  1 Co 2.19
Co (0.5000, 0.1134, 0.6134)  1 Co 2.19
Co (0.8866, 0.3866, 0.5000)  1 Co 2.19
Co (0.1134, 0.6134, 0.5000)  1 Co 2.19



A plane-wave DFT calculation with PBE was carried out for LaErZnSn after structural relaxation.

Values from the calculation:
Crystal system: cubic
Final energy, eV/cell: -16.804
Calculated volume, Å³ per atom: 26.413

abc: 5.3064 5.3064 5.3064
angles: 60.00 60.00 60.00
Closest atoms and distances in Å follow each position.
Sites, in units of the cell vectors:
Zn (0.0000, 0.0000, 0.0000)  4 La 3.25, 4 Er 3.25
La (0.7500, 0.7500, 0.7500)  4 Zn 3.25, 4 Sn 3.25
Sn (0.5000, 0.5000, 0.5000)  4 La 3.25, 4 Er 3.25
Er (0.2500, 0.2500, 0.2500)  4 Sn 3.25, 4 Zn 3.25



A plane-wave DFT calculation with PBE was carried out for Ga2AgHg after structural relaxation.

Values from the calculation:
Crystal system: tetragonal
Final energy, eV/cell: -8.855
Calculated volume, Å³ per atom: 20.508

abc: 3.4589 3.4589 6.8563
angles: 90.00 90.00 90.00
Closest atoms and distances in Å follow each position.
Sites, in units of the cell vectors:
Ga (0.0000, 0.0000, 0.7758)  4 Ag 2.89, 1 Ga 3.07, 4 Hg 3.09
Ga (0.0000, 0.0000, 0.2242)  4 Ag 2.89, 1 Ga 3.07, 4 Hg 3.09
Hg (0.5000, 0.5000, 0.5000)  8 Ga 3.09, 2 Ag 3.43, 4 Hg 3.46
Ag (0.5000, 0.5000, 0.0000)  8 Ga 2.89



A plane-wave DFT calculation with PBE was carried out for NaTa5S8 after structural relaxation.

Values from the calculation:
Crystal system: monoclinic
Final energy, eV/cell: -108.050
Calculated volume, Å³ per atom: 18.688

abc: 3.3243 9.4847 8.8160
angles: 106.27 100.87 90.00
Closest atoms and distances in Å follow each position.
Sites, in units of the cell vectors:
Na (0.5162, 0.5628, 0.0324)  6 S 2.99-3.16, 2 Na 3.32
Ta (0.2864, 0.6170, 0.5729)  6 S 2.48-2.62
Ta (0.7100, 0.3657, 0.4199)  6 S 2.47-2.62
Ta (0.3303, 0.9987, 0.6606)  6 S 2.53-2.58
Ta (0.6817, 0.9936, 0.3635)  6 S 2.43-2.58
Ta (0.9834, 0.0002, 0.9668)  6 S 2.38-2.64
S (0.2512, 0.1865, 0.5024)  5 Ta 2.51-2.62
S (0.7501, 0.8026, 0.5002)  5 Ta 2.43-2.62
S (0.1406, 0.4812, 0.2811)  3 Ta 2.48-2.49
S (0.8550, 0.5011, 0.7101)  3 Ta 2.47-2.48
S (0.0856, 0.8405, 0.1712)  3 Ta 2.50-2.64
S (0.9127, 0.1821, 0.8254)  3 Ta 2.38-2.53
S (0.4159, 0.8204, 0.8319)  4 Ta 2.43-2.55
S (0.5808, 0.1478, 0.1616)  4 Ta 2.49-2.58



The following spin magnetization values (in μB per formula unit) correspond, in order, to the records above: 0.00, 0.00, 0.00, 0.00, 0.00, 1.95, 0.00, 0.00, 0.00, 0.00, 0.00, 0.00.